Below is Mg2SbCl at its PBEsol-relaxed geometry, with properties calculated at the SCAN level.

Lattice parameters (Å, degrees): 4.253 4.218 5.320 90.00 90.00 89.98
Sites, in units of the cell vectors:
Cl 0.125 0.897 0.500
Mg 0.125 0.929 0.000
Mg 0.625 0.234 0.500
Sb 0.625 0.440 0.000

Values from the calculation:
uncorrected formation energy	-0.88	eV per atom
N(E_F)	0.21	states/eV/f.u.

=====

Below is CdIn2Se at its PBEsol-relaxed geometry, with properties calculated at the SCAN level.

Lattice parameters (Å, degrees): 5.185 5.185 5.185 60.00 60.00 60.00
Sites, in units of the cell vectors:
Cd 0.000 0.000 0.000
In 0.750 0.750 0.750
In 0.250 0.250 0.250
Se 0.500 0.500 0.500

Values from the calculation:
uncorrected formation energy	0.03	eV per atom
N(E_F)	1.09	states/eV/f.u.

=====

Below is Zn2InIr at its PBEsol-relaxed geometry, with properties calculated at the SCAN level.

Lattice parameters (Å, degrees): 3.039 4.568 4.855 103.57 108.23 90.00
Sites, in units of the cell vectors:
In 0.493 0.485 0.986
Ir 0.741 0.242 0.482
Zn 0.008 0.003 0.016
Zn 0.258 0.770 0.516

Values from the calculation:
formation energy	-0.11	eV/f.u.
N(E_F)	1.09	states/eV/f.u.

=====

Below is MgOs2Br at its PBEsol-relaxed geometry, with properties calculated at the SCAN level.

Lattice parameters (Å, degrees): 2.953 2.953 7.657 90.00 90.00 90.00
Sites, in units of the cell vectors:
Br 0.000 0.000 0.486
Mg 0.500 0.500 0.774
Os 0.000 0.000 0.021
Os 0.500 0.500 0.219

Values from the calculation:
uncorrected formation energy	0.38	eV per atom
N(E_F)	2.56	states/eV/f.u.

=====

Below is ZrZn4Tc at its PBEsol-relaxed geometry, with properties calculated at the SCAN level.

Lattice parameters (Å, degrees): 4.950 4.950 4.950 60.00 60.00 60.00
Sites, in units of the cell vectors:
Zn 0.374 0.374 0.374
Zn 0.374 0.374 0.878
Zn 0.878 0.374 0.374
Zn 0.374 0.878 0.374
Tc 0.000 0.000 0.000
Zr 0.750 0.750 0.750

Values from the calculation:
formation energy	-2.15	eV/f.u.
N(E_F)	2.60	states/eV/f.u.

=====

Below is Cd5Au3 at its PBEsol-relaxed geometry, with properties calculated at the SCAN level.

Lattice parameters (Å, degrees): 4.348 5.877 5.877 96.53 90.00 90.00
Sites, in units of the cell vectors:
Au 0.000 0.500 0.500
Au 0.500 0.768 0.232
Au 0.500 0.232 0.768
Cd 0.000 0.000 0.000
Cd 0.000 0.500 0.000
Cd 0.000 0.000 0.500
Cd 0.500 0.730 0.730
Cd 0.500 0.270 0.270

Values from the calculation:
formation energy	-1.47	eV/f.u.
N(E_F)	1.91	states/eV/f.u.

=====

Below is Na3MnAsCO7 at its PBEsol-relaxed geometry, with properties calculated at the SCAN level.

Lattice parameters (Å, degrees): 5.172 6.884 9.135 90.00 89.69 90.00
Site moments in Bohr magnetons follow the coordinates.
Sites, in units of the cell vectors:
Na 0.759 0.250 0.419  0.00
Na 0.241 0.750 0.581  0.00
Na 0.245 0.000 0.247  0.00
Na 0.245 0.500 0.247  0.00
Na 0.755 0.500 0.753  0.00
Na 0.755 0.000 0.753  0.00
Mn 0.775 0.750 0.147  4.55
Mn 0.225 0.250 0.853  4.55
As 0.697 0.250 0.087  0.03
As 0.303 0.750 0.913  0.03
C 0.736 0.750 0.443  0.00
C 0.264 0.250 0.557  0.00
O 0.286 0.250 0.416  0.00
O 0.714 0.750 0.584  0.00
O 0.962 0.750 0.381  0.02
O 0.038 0.250 0.619  0.02
O 0.531 0.750 0.361  0.02
O 0.469 0.250 0.639  0.02
O 0.366 0.250 0.065  0.04
O 0.634 0.750 0.935  0.04
O 0.168 0.750 0.084  0.03
O 0.832 0.250 0.916  0.03
O 0.779 0.053 0.193  0.03
O 0.779 0.447 0.193  0.03
O 0.221 0.553 0.807  0.03
O 0.221 0.947 0.807  0.03

Values from the calculation:
uncorrected formation energy	-1.87	eV per atom
N(E_F)	0.00	states/eV/f.u.

=====

Below is Li2ZnAg2 at its PBEsol-relaxed geometry, with properties calculated at the SCAN level.

Lattice parameters (Å, degrees): 3.433 3.433 7.262 103.67 103.67 90.00
Sites, in units of the cell vectors:
Zn 0.000 0.000 0.000
Ag 0.401 0.401 0.803
Ag 0.599 0.599 0.197
Li 0.250 0.750 0.500
Li 0.750 0.250 0.500

Values from the calculation:
formation energy	0.54	eV/f.u.
N(E_F)	1.58	states/eV/f.u.

=====

Below is BaTc2P at its PBEsol-relaxed geometry, with properties calculated at the SCAN level.

Lattice parameters (Å, degrees): 3.445 4.452 4.452 90.00 90.00 90.00
Site moments in Bohr magnetons follow the coordinates.
Sites, in units of the cell vectors:
Ba 0.500 0.500 0.500  0.02
P 0.500 0.000 0.000  -0.05
Tc 0.000 0.000 0.500  1.16
Tc 0.000 0.500 0.000  1.16

Values from the calculation:
formation energy	4.60	eV/f.u.
N(E_F)	3.40	states/eV/f.u.

=====

Below is TiNbCrO6 at its PBEsol-relaxed geometry, with properties calculated at the SCAN level.

Lattice parameters (Å, degrees): 4.640 4.640 8.916 90.00 90.00 90.00
Site moments in Bohr magnetons follow the coordinates.
Sites, in units of the cell vectors:
Ti 0.500 0.500 0.502  0.07
Ti 0.000 0.000 0.002  0.07
Nb 0.500 0.500 0.165  0.07
Nb 0.000 0.000 0.665  0.07
Cr 0.500 0.500 0.834  2.74
Cr 0.000 0.000 0.334  2.74
O 0.199 0.801 0.835  -0.01
O 0.801 0.199 0.835  -0.01
O 0.699 0.699 0.335  -0.01
O 0.301 0.301 0.335  -0.01
O 0.200 0.800 0.498  0.01
O 0.800 0.200 0.498  0.01
O 0.700 0.700 0.998  0.01
O 0.300 0.300 0.998  0.01
O 0.192 0.808 0.166  0.01
O 0.808 0.192 0.166  0.01
O 0.692 0.692 0.666  0.01
O 0.308 0.308 0.666  0.01

Values from the calculation:
uncorrected formation energy	-2.89	eV per atom

=====

Below is Mg3NiI at its PBEsol-relaxed geometry, with properties calculated at the SCAN level.

Lattice parameters (Å, degrees): 4.929 4.929 4.929 90.00 90.00 90.00
Sites, in units of the cell vectors:
I 0.500 0.500 0.500
Ni 0.000 0.000 0.000
Mg 0.000 0.500 0.000
Mg 0.000 0.000 0.500
Mg 0.500 0.000 0.000

Values from the calculation:
uncorrected formation energy	0.05	eV per atom
N(E_F)	2.00	states/eV/f.u.

=====

Below is Ce3Al at its PBEsol-relaxed geometry, with properties calculated at the SCAN level.

Lattice parameters (Å, degrees): 4.568 4.568 4.568 90.00 90.00 90.00
Site moments in Bohr magnetons follow the coordinates.
Sites, in units of the cell vectors:
Al 0.000 0.000 0.000  -0.05
Ce 0.500 0.500 0.000  0.95
Ce 0.500 0.000 0.500  0.95
Ce 0.000 0.500 0.500  0.95

Values from the calculation:
formation energy	-0.82	eV/f.u.
N(E_F)	6.42	states/eV/f.u.

=====

Below is YRe2Au2 at its PBEsol-relaxed geometry, with properties calculated at the SCAN level.

Lattice parameters (Å, degrees): 4.244 4.244 6.233 109.91 109.91 90.00
Sites, in units of the cell vectors:
Y 0.000 0.000 0.000
Re 0.398 0.398 0.796
Re 0.602 0.602 0.204
Au 0.250 0.750 0.500
Au 0.750 0.250 0.500

Values from the calculation:
formation energy	0.46	eV/f.u.
N(E_F)	4.05	states/eV/f.u.

=====

Below is HgHSeBr2 at its PBEsol-relaxed geometry, with properties calculated at the SCAN level.

Lattice parameters (Å, degrees): 3.511 5.328 5.328 90.00 90.00 90.00
Sites, in units of the cell vectors:
H 0.000 0.000 0.000
Se 0.500 0.000 0.000
Hg 0.500 0.500 0.500
Br 0.000 0.000 0.500
Br 0.000 0.500 0.000

Values from the calculation:
E	-25.704	eV/atom
N(E_F)	4.08	states/eV/f.u.

=====

Below is CdSeCl2 at its PBEsol-relaxed geometry, with properties calculated at the SCAN level.

Lattice parameters (Å, degrees): 3.130 3.130 10.033 90.00 90.00 90.00
Sites, in units of the cell vectors:
Cl 0.000 0.000 0.661
Cl 0.000 0.000 0.339
Se 0.500 0.500 0.000
Cd 0.500 0.500 0.500

Values from the calculation:
uncorrected formation energy	-0.33	eV per atom
N(E_F)	1.06	states/eV/f.u.

=====

Below is La2YTl at its PBEsol-relaxed geometry, with properties calculated at the SCAN level.

Lattice parameters (Å, degrees): 3.626 6.018 6.406 114.69 106.44 90.00
Sites, in units of the cell vectors:
Y 0.228 0.658 0.456
Tl 0.503 0.591 0.006
La 0.995 0.050 0.991
La 0.774 0.201 0.548

Values from the calculation:
formation energy	-1.34	eV/f.u.
N(E_F)	4.53	states/eV/f.u.

=====

Below is MnCo2P at its PBEsol-relaxed geometry, with properties calculated at the SCAN level.

Lattice parameters (Å, degrees): 2.561 2.561 7.527 80.21 80.21 60.00
Site moments in Bohr magnetons follow the coordinates.
Sites, in units of the cell vectors:
Co 0.994 0.994 0.019  1.15
Co 0.751 0.751 0.747  1.84
Mn 0.505 0.505 0.486  1.64
P 0.251 0.251 0.248  -0.05

Values from the calculation:
formation energy	0.26	eV/f.u.
N(E_F)	3.48	states/eV/f.u.

=====

Below is TlAgTe2 at its PBEsol-relaxed geometry, with properties calculated at the SCAN level.

Lattice parameters (Å, degrees): 3.135 4.167 8.454 90.00 94.08 90.00
Sites, in units of the cell vectors:
Tl 0.500 0.500 0.000
Te 0.948 0.000 0.721
Te 0.052 0.000 0.279
Ag 0.000 0.500 0.500

Values from the calculation:
uncorrected formation energy	-0.09	eV per atom
N(E_F)	1.34	states/eV/f.u.

=====

Below is LaTc2Te at its PBEsol-relaxed geometry, with properties calculated at the SCAN level.

Lattice parameters (Å, degrees): 3.518 4.614 4.614 90.00 90.00 90.00
Sites, in units of the cell vectors:
La 0.500 0.000 0.000
Tc 0.000 0.000 0.500
Tc 0.000 0.500 0.000
Te 0.500 0.500 0.500

Values from the calculation:
uncorrected formation energy	0.24	eV per atom
N(E_F)	4.17	states/eV/f.u.

=====

Below is Mn2SiSe at its PBEsol-relaxed geometry, with properties calculated at the SCAN level.

Lattice parameters (Å, degrees): 3.528 3.528 6.092 73.17 73.17 60.00
Site moments in Bohr magnetons follow the coordinates.
Sites, in units of the cell vectors:
Mn 0.260 0.260 0.219  3.71
Mn 0.740 0.740 0.781  3.71
Se 0.500 0.500 0.500  0.04
Si 0.000 0.000 0.000  -0.26

Values from the calculation:
uncorrected formation energy	-0.32	eV per atom
N(E_F)	1.38	states/eV/f.u.

=====

Values for M_tot, μB per cell, ordered as above
0.00, 0.00, 0.00, 0.00, 0.00, 0.00, 10.00, 0.00, 2.29, 6.00, 0.00, 3.54, 0.00, 0.01, 0.00, 0.00, 4.50, 0.00, 0.00, 7.31